First-principles (PBE) data for a geometry-optimized Na2LiSnBr5 structure, as listed in Alexandria via LeMat-Bulk.

E_form (uncorrected)   -10.960 eV/f.u.
Uncorrected energy   -3.10 eV/atom

a b c (Å): 4.2023 16.8535 15.7187
angles (deg): 90.00 90.00 90.00
Last column: nearest neighbours and their distance in Å.
Space group Cmc2_1 (No. 36)
Asymmetric unit:
Na1 0.0000 0.0593 0.0000 x4  6 Br 2.92-3.19
Na2 0.0000 0.1729 0.5976 x4  5 Br 2.93-3.23
Li1 0.0000 0.2655 0.3739 x4  4 Br 2.60-2.77
Sn1 0.0000 0.4323 0.7778 x4  5 Br 2.86-3.13
Br1 0.0000 0.1043 0.3978 x4  1 Li 2.74, 2 Sn 2.89
Br2 0.0000 0.2323 0.0105 x4  3 Na 2.92-2.97, 2 Li 3.00
Br3 0.0000 0.2559 0.7615 x4  2 Li 2.77, 1 Na 2.93, 1 Sn 2.98
Br4 0.0000 0.4199 0.3679 x4  1 Li 2.60, 1 Sn 2.86
Br5 0.0000 0.4722 0.1067 x4  4 Na 3.06-3.23, 1 Sn 3.13

***

First-principles (PBE) data for a geometry-optimized Hf2Zr2Pa15 structure, as listed in Alexandria via LeMat-Bulk.

ΔH_f (0 K)   0.263 eV/atom
Uncorrected energy   -9.18 eV/atom

a b c (Å): 10.3022 10.3022 15.7639
angles (deg): 90.00 90.00 120.00
Last column: nearest neighbours and their distance in Å.
Space group R-3m (No. 166, hexagonal axes)
Asymmetric unit:
Hf1 0.0000 0.0000 0.2029 x6  1 Zr 3.18
Zr1 0.0000 0.0000 0.4047 x6  1 Zr 3.00, 6 Pa 3.18-3.36, 1 Hf 3.18
Pa1 0.0000 0.3124 0.5000 x18  8 Pa 3.07-3.31
Pa2 0.0000 0.5000 0.0000 x9  8 Pa 3.03-3.09, 2 Zr 3.18
Pa3 0.0108 0.5054 0.6509 x18  6 Pa 2.92-3.07

***

First-principles (PBE) data for a geometry-optimized Fe3Co5 structure, as listed in Alexandria via LeMat-Bulk.

ΔH_f (0 K)   0.034 eV/atom
Uncorrected energy   -7.58 eV/atom

a b c (Å): 2.8334 4.0126 15.9901
angles (deg): 90.00 90.00 90.00
Last column: nearest neighbours and their distance in Å.
Space group Cmm2 (No. 35)
Asymmetric unit:
Fe1 0.0000 0.0000 0.0000 x2  4 Co 2.44-2.45, 4 Fe 2.46
Fe2 0.0000 0.0000 0.4978 x2  2 Co 2.45, 6 Fe 2.46-2.49
Fe3 0.0000 0.5000 0.6255 x2  2 Co 2.45, 6 Fe 2.46-2.49
Co1 0.0000 0.0000 0.2487 x2  8 Co 2.43-2.46
Co2 0.0000 0.0000 0.7505 x2  2 Fe 2.45, 6 Co 2.45-2.46
Co3 0.0000 0.5000 0.1248 x2  6 Co 2.43-2.46, 2 Fe 2.45
Co4 0.0000 0.5000 0.3726 x2  6 Co 2.44-2.46, 2 Fe 2.45
Co5 0.0000 0.5000 0.8755 x2  2 Fe 2.44, 6 Co 2.45-2.46

***

First-principles (PBE) data for a geometry-optimized TcAg2Ir structure, as listed in Alexandria via LeMat-Bulk.

ΔH_f (0 K)   0.371 eV/atom
Uncorrected energy   -5.86 eV/atom
Distance to the lowest polymorph of the same formula   204 meV/atom

a b c (Å): 9.0552 2.7600 5.2078
angles (deg): 90.00 97.90 90.00
Last column: nearest neighbours and their distance in Å.
Space group Cm (No. 8)
Asymmetric unit:
Tc1 0.0000 0.0000 0.0000 x2  3 Ir 2.60-2.64, 2 Tc 2.76, 2 Ag 2.84
Ag1 0.0069 0.5000 0.5252 x2  5 Ag 2.64-2.78, 2 Tc 2.84, 3 Ir 2.94
Ag2 0.2542 0.5000 0.3075 x2  5 Ag 2.64-2.78, 2 Ir 2.84, 3 Tc 2.92-2.96
Ir1 0.2578 0.0000 0.8322 x2  3 Tc 2.60-2.64, 2 Ir 2.76, 2 Ag 2.84

***

First-principles (PBE) data for a geometry-optimized CdTcF3 structure, as listed in Alexandria via LeMat-Bulk.

E_form (uncorrected)   -5.671 eV/f.u.
Uncorrected energy   -4.51 eV/atom
Distance to the lowest polymorph of the same formula   0 meV/atom

a b c (Å): 4.3978 4.3978 4.3978
angles (deg): 90.00 90.00 90.00
Last column: nearest neighbours and their distance in Å.
Space group Pm-3m (No. 221)
Asymmetric unit:
Cd1 0.0000 0.0000 0.0000 x1  12 F 3.11
Tc1 0.5000 0.5000 0.5000 x1  6 F 2.20
F1 0.0000 0.5000 0.5000 x3  2 Tc 2.20

***

First-principles (PBE) data for a geometry-optimized PmThCu2Si2 structure, as listed in Alexandria via LeMat-Bulk.

E_form (uncorrected)   -3.863 eV/f.u.
Uncorrected energy   -5.85 eV/atom

a b c (Å): 4.1534 4.1534 8.1024
angles (deg): 90.00 90.00 120.00
Last column: nearest neighbours and their distance in Å.
Space group P-3m1 (No. 164)
Asymmetric unit:
Pm1 0.0000 0.0000 0.0000 x1  6 Si 3.14, 6 Cu 3.16
Th1 0.0000 0.0000 0.5000 x1  6 Cu 3.12, 6 Si 3.14
Cu1 0.3333 0.6667 0.7466 x2  3 Si 2.40
Si1 0.3333 0.6667 0.2493 x2  3 Cu 2.40